1.
VASP calculation (PBE) on a geometry-optimized KCd17Pb structure.

The value obtained for the formation energy is -9.6 meV per atom.

It has space group R3m (No. 160, hexagonal axes), with a = 10.3080 Å, b = 10.3080 Å, c = 15.3052 Å, α = 90.00°, β = 90.00° and γ = 120.00°. The inequivalent atoms are K at (0.0000, 0.0000, 0.0000), Cd at (0.0000, 0.0000, 0.5525), Cd at (0.0000, 0.0000, 0.7539), Cd at (0.0366, 0.3659, 0.3274), Cd at (0.1717, 0.3433, 0.1385), Cd at (0.1770, 0.3539, 0.4996), Cd at (0.1772, 0.3544, 0.8416) and Pb at (0.0000, 0.0000, 0.2839).


2.
VASP calculation (PBE) on a geometry-optimized K2CdPb structure.

The value obtained for the formation energy is -78.5 meV per atom.

It has space group Amm2 (No. 38), with a = 5.378 Å, b = 4.375 Å, c = 13.799 Å, α = 90.00°, β = 90.00° and γ = 90.00°. The inequivalent atoms are K at (0.000, 0.000, 0.000), K at (0.500, 0.000, 0.317), Cd at (0.000, 0.000, 0.708) and Pb at (0.500, 0.000, 0.604).


3.
VASP calculation (PBE) on a geometry-optimized K3Cd3Pb2 structure.

The value obtained for the formation energy is -114.1 meV per atom.

It has space group Cmcm (No. 63), with a = 5.382 Å, b = 12.321 Å, c = 17.684 Å, α = 90.00°, β = 90.00° and γ = 90.00°. The inequivalent atoms are K at (0.000, 0.082, 0.250), K at (0.000, 0.405, 0.106), Cd at (0.000, 0.110, 0.034), Cd at (0.000, 0.231, 0.750) and Pb at (0.000, 0.294, 0.591).


4.
VASP calculation (PBE) on a geometry-optimized K3Cd4Pb2 structure.

The value obtained for the formation energy is -88.3 meV per atom. The calculation puts the energy above the most stable polymorph in this dataset at 19 meV/atom.

It has space group C2/m (No. 12), with a = 12.043 Å, b = 5.398 Å, c = 10.165 Å, α = 90.00°, β = 115.17° and γ = 90.00°. The inequivalent atoms are K at (0.000, 0.000, 0.000), K at (0.180, 0.500, 0.652), Cd at (0.035, 0.000, 0.376), Cd at (0.201, 0.500, 0.034) and Pb at (0.073, 0.500, 0.246).


5.
VASP calculation (PBE) on a geometry-optimized KCd4Pb4 structure.

The value obtained for the formation energy is 31.6 meV per atom.

It has space group P4_2/n (No. 86, origin choice 2), with a = 9.899 Å, b = 9.899 Å, c = 6.268 Å, α = 90.00°, β = 90.00° and γ = 90.00°. The inequivalent atoms are K at (0.250, 0.250, 0.250), Cd at (0.062, 0.896, 0.131) and Pb at (0.100, 0.881, 0.622).


6.
VASP calculation (PBE) on a geometry-optimized KCd2Pb2 structure.

The value obtained for the formation energy is -110.2 meV per atom. The calculation puts the energy above the most stable polymorph in this dataset at 0 meV/atom.

It has space group I4/mmm (No. 139), with a = 4.948 Å, b = 4.948 Å, c = 13.313 Å, α = 90.00°, β = 90.00° and γ = 90.00°. The inequivalent atoms are K at (0.000, 0.000, 0.000), Cd at (0.000, 0.000, 0.395) and Pb at (0.000, 0.500, 0.250).


7.
VASP calculation (PBE) on a geometry-optimized K3Cd4Pb2 structure.

The value obtained for the formation energy is -107.0 meV per atom. The calculation puts the energy above the most stable polymorph in this dataset at 0 meV/atom.

It has space group P-1 (No. 2), with a = 5.161 Å, b = 6.886 Å, c = 10.189 Å, α = 105.59°, β = 90.50° and γ = 111.93°. The inequivalent atoms are K at (0.000, 0.000, 0.000), K at (0.393, 0.784, 0.634), Cd at (0.093, 0.186, 0.629), Cd at (0.280, 0.556, 0.934) and Pb at (0.282, 0.568, 0.247).


8.
VASP calculation (PBE) on a geometry-optimized KCd9Pb2 structure.

The value obtained for the formation energy is -36.0 meV per atom.

It has space group R-3m (No. 166, hexagonal axes), with a = 6.1376 Å, b = 6.1376 Å, c = 28.8147 Å, α = 90.00°, β = 90.00° and γ = 120.00°. The inequivalent atoms are K at (0.0000, 0.0000, 0.0000), Cd at (0.0000, 0.0000, 0.3336), Cd at (0.0000, 0.0000, 0.5000), Cd at (0.0047, 0.5024, 0.9152) and Pb at (0.0000, 0.0000, 0.1418).